A relaxed structure of Li3TiV2O6. Source: Alexandria, functional PBE with a Hubbard U.

Its mass density is 3.87 g/cm3. The calculated volume is 228 Å³/cell. For the magnetization, the calculation gives 0.417 μB/atom. As for the uncorrected energy: -171.6 eV per cell.

The structure in CIF format:
```
data_Li3TiV2O6
_chemical_formula_sum 'Li6 Ti2 V4 O12'
_space_group_name_H-M_alt 'C 1 2/m 1'
_space_group_IT_number 12
_cell_length_a 5.262
_cell_length_b 8.836
_cell_length_c 5.243
_cell_angle_alpha 90.00
_cell_angle_beta 110.43
_cell_angle_gamma 90.00
loop_
_space_group_symop_operation_xyz
'x,y,z'
'-x,-y,-z'
'-x,y,-z'
'x,-y,z'
'x+1/2,y+1/2,z'
'-x+1/2,-y+1/2,-z'
'-x+1/2,y+1/2,-z'
'x+1/2,-y+1/2,z'
loop_
_atom_site_label
_atom_site_fract_x
_atom_site_fract_y
_atom_site_fract_z
Li1 0.000 0.000 0.000
Li2 0.000 0.332 0.000
Ti1 0.000 0.500 0.500
V1 0.000 0.160 0.500
O1 0.235 0.500 0.265
O2 0.236 0.339 0.728
```